Cs6Rb2I (PBE-GGA, relaxed); energy relative to the elements, uncorrected = -31 kJ/mol of atoms; N(E_F) = 7.914 states/eV/f.u.; crystal system = monoclinic; SG = C2/m (12); magnetic moment = 0.000 μB/f.u.; total energy = -1.27 eV per atom
1.0
10.730 1.882 0.000
-2.619 14.954 0.000
0.000 0.000 10.850
Cs Rb I
12 4 2
direct
0.999 0.754 0.000
0.251 0.501 0.252
0.249 0.999 0.248
0.251 0.501 0.748
0.249 0.999 0.752
0.501 0.746 0.500
0.001 0.246 0.000
0.749 0.499 0.748
0.751 0.001 0.752
0.749 0.499 0.252
0.751 0.001 0.248
0.499 0.254 0.500
0.001 0.249 0.500
0.499 0.251 0.000
0.501 0.749 0.000
0.999 0.751 0.500
0.500 0.000 0.500
0.000 0.500 0.000